Crystalline CuTeOF2 at its relaxed geometry. Source: Alexandria, functional PBE-GGA.

a b c (Å): 3.9301 3.9301 4.0015
angles (deg): 90.00 90.00 90.00
Closest atoms and distances in Å follow each position.
Element x y z (fractional)
Cu 0.0000 0.0000 0.0000  4 F 1.97, 2 O 2.00
Te 0.5000 0.5000 0.5000  4 O 2.78, 8 F 2.80
O 0.0000 0.0000 0.5000  2 Cu 2.00
F 0.0000 0.5000 0.0000  2 Cu 1.97
F 0.5000 0.0000 0.0000  2 Cu 1.97

Properties
**Space group**: No. 123
**Energy above the most stable polymorph in this dataset**: 1.4 kJ/mol of atoms
**Total magnetization**: 0.006 μB/atom
**Raw total energy**: -3.787 eV/atom
**Energy relative to the elements, uncorrected**: -0.599 eV/atom

=====

Crystalline TiCuO2F at its relaxed geometry. Source: Alexandria, functional PBE-GGA.

a b c (Å): 3.8391 3.8391 3.9422
angles (deg): 90.00 90.00 90.00
Closest atoms and distances in Å follow each position.
Element x y z (fractional)
Ti 0.0000 0.0000 0.0000  4 O 1.92, 2 F 1.97
Cu 0.5000 0.5000 0.5000  4 F 2.71, 8 O 2.75
O 0.0000 0.5000 0.0000  2 Ti 1.92
O 0.5000 0.0000 0.0000  2 Ti 1.92
F 0.0000 0.0000 0.5000  2 Ti 1.97

Properties
**Space group**: No. 123
**Total magnetization**: 0.013 μB/atom
**Raw total energy**: -6.685 eV/atom
**Energy relative to the elements, uncorrected**: -1.929 eV/atom

=====

Crystalline TiCuO4F6 at its relaxed geometry. Source: Alexandria, functional PBE-GGA.

a b c (Å): 4.9576 8.1186 7.8603
angles (deg): 90.00 101.14 90.00
Closest atoms and distances in Å follow each position.
Element x y z (fractional)
Ti 0.0000 0.0000 0.0000  6 F 1.86-1.92
Ti 0.0000 0.5000 0.5000  6 F 1.86-1.92
Cu 0.5000 0.0000 0.5000  4 O 1.83
Cu 0.5000 0.5000 0.0000  4 O 1.83
O 0.1836 0.0582 0.5735  1 Cu 1.83
O 0.1836 0.4418 0.0735  1 Cu 1.83
O 0.4586 0.7071 0.0823  1 Cu 1.83
O 0.4586 0.7929 0.5823  1 Cu 1.83
O 0.5414 0.2071 0.4177  1 Cu 1.83
O 0.5414 0.2929 0.9177  1 Cu 1.83
O 0.8164 0.5582 0.9265  1 Cu 1.83
O 0.8164 0.9418 0.4265  1 Cu 1.83
F 0.1378 0.2025 0.9243  1 Ti 1.92, 1 O 2.14
F 0.1378 0.2975 0.4243  1 Ti 1.92, 1 O 2.14
F 0.2390 0.6268 0.3889  1 Ti 1.90
F 0.2390 0.8732 0.8889  1 Ti 1.90
F 0.2584 0.5010 0.7065  1 Ti 1.86
F 0.2584 0.9990 0.2065  1 Ti 1.86
F 0.7416 0.0010 0.7935  1 Ti 1.86
F 0.7416 0.4990 0.2935  1 Ti 1.86
F 0.7610 0.1268 0.1111  1 Ti 1.90
F 0.7610 0.3732 0.6111  1 Ti 1.90
F 0.8622 0.7025 0.5757  1 Ti 1.92, 1 O 2.14
F 0.8622 0.7975 0.0757  1 Ti 1.92, 1 O 2.14

Properties
**Space group**: No. 14
**Total magnetization**: 0.584 μB/atom
**Raw total energy**: -4.606 eV/atom
**Energy relative to the elements, uncorrected**: -1.018 eV/atom

=====

Crystalline TiCuO2F at its relaxed geometry. Source: Alexandria, functional PBE-GGA.

a b c (Å): 3.8101 3.8101 3.7443
angles (deg): 90.00 90.00 90.00
Closest atoms and distances in Å follow each position.
Element x y z (fractional)
Ti 0.0000 0.0000 0.0000  8 O 2.67, 4 F 2.69
Cu 0.5000 0.5000 0.5000  2 F 1.87, 4 O 1.91
O 0.0000 0.5000 0.5000  2 Cu 1.91
O 0.5000 0.0000 0.5000  2 Cu 1.91
F 0.5000 0.5000 0.0000  2 Cu 1.87

Properties
**Space group**: No. 123
**Total magnetization**: 0.020 μB/atom
**Raw total energy**: -5.674 eV/atom
**Energy relative to the elements, uncorrected**: -0.918 eV/atom

=====

Copy entry 2 word for word.
Crystalline TiCuO2F at its relaxed geometry. Source: Alexandria, functional PBE-GGA.

a b c (Å): 3.8391 3.8391 3.9422
angles (deg): 90.00 90.00 90.00
Closest atoms and distances in Å follow each position.
Element x y z (fractional)
Ti 0.0000 0.0000 0.0000  4 O 1.92, 2 F 1.97
Cu 0.5000 0.5000 0.5000  4 F 2.71, 8 O 2.75
O 0.0000 0.5000 0.0000  2 Ti 1.92
O 0.5000 0.0000 0.0000  2 Ti 1.92
F 0.0000 0.0000 0.5000  2 Ti 1.97

Properties
**Space group**: No. 123
**Total magnetization**: 0.013 μB/atom
**Raw total energy**: -6.685 eV/atom
**Energy relative to the elements, uncorrected**: -1.929 eV/atom

=====

> Which value of raw total energy does entry 2 give?

-6.685 eV/atom

=====

> Which value of raw total energy does entry 3 give?

-4.606 eV/atom